Entry 1:
This record from the Alexandria database describes a geometry-optimized CoRu3N structure. The functional is PBE.

POSCAR file:
```
CoRu3N
1.0
-0.970 0.691 -3.779
-1.406 -3.691 -0.315
-3.575 1.264 1.149
Ru Co N
3 1 1
Direct
0.000 0.500 0.000 Ru
0.000 0.000 0.500 Ru
0.500 0.000 0.000 Ru
0.500 0.500 0.500 Co
0.000 0.000 0.000 N
```

Results
Space group   No. 221
DOS at the Fermi energy   4.01 states/eV/f.u.
Energy   -8.25 eV per atom
Total moment   0.000 μB/atom

=====

Entry 2:
This record from the Alexandria database describes a geometry-optimized V6TcMo structure. The functional is PBE.

POSCAR file:
```
V6TcMo
1.0
6.851 0.006 0.024
3.418 5.931 -0.008
3.416 1.986 2.779
V Tc Mo
6 1 1
Direct
0.999 0.500 0.753 V
0.748 0.999 0.752 V
0.500 0.252 0.248 V
0.252 0.001 0.248 V
0.001 0.500 0.247 V
0.500 0.748 0.752 V
0.500 0.500 0.500 Tc
0.000 0.000 0.000 Mo
```

Results
Space group   No. 148
Formation energy   -0.46 eV/f.u.
DOS at the Fermi energy   10.64 states/eV/f.u.
Energy   -9.55 eV per atom
Total moment   0.000 μB/atom

=====

Entry 3:
This record from the Alexandria database describes a geometry-optimized Sr3InO structure. The functional is PBE.

POSCAR file:
```
Sr3InO
1.0
4.461 0.000 8.173
-2.231 3.863 8.173
-2.231 -3.863 8.173
Sr O In
6 2 2
Direct
0.956 0.544 0.250 Sr
0.544 0.250 0.956 Sr
0.250 0.956 0.544 Sr
0.750 0.044 0.456 Sr
0.456 0.750 0.044 Sr
0.044 0.456 0.750 Sr
0.250 0.250 0.250 O
0.750 0.750 0.750 O
0.000 0.000 0.000 In
0.500 0.500 0.500 In
```

Results
Space group   No. 167
DOS at the Fermi energy   5.65 states/eV/f.u.
Energy   -3.61 eV per atom
Total moment   0.000 μB/atom

=====

Entry 4:
This record from the Alexandria database describes a geometry-optimized VCrBr structure. The functional is PBE.

POSCAR file:
```
VCrBr
1.0
3.123 0.000 0.004
0.000 3.954 0.000
-0.042 0.000 19.246
Cr Br V
4 4 4
Direct
0.750 0.023 0.043 Cr
0.250 0.023 0.957 Cr
0.750 0.523 0.543 Cr
0.250 0.523 0.457 Cr
0.751 0.348 0.158 Br
0.249 0.348 0.842 Br
0.751 0.848 0.658 Br
0.249 0.848 0.342 Br
0.250 0.531 0.061 V
0.750 0.531 0.939 V
0.250 0.031 0.561 V
0.750 0.031 0.439 V
```

Results
Space group   No. 5
DOS at the Fermi energy   0.46 states/eV/f.u.
Energy   -6.89 eV per atom
Total moment   0.000 μB/atom

=====

Entry 5:
This record from the Alexandria database describes a geometry-optimized TlRh2Se structure. The functional is PBE.

POSCAR file:
```
TlRh2Se
1.0
-1.357 -3.115 3.195
-0.874 -4.404 -1.261
2.895 -3.417 1.302
Rh Se Tl
2 1 1
Direct
0.000 0.000 0.000 Rh
0.250 0.250 0.250 Rh
0.500 0.500 0.500 Se
0.750 0.750 0.750 Tl
```

Results
Space group   No. 216
DOS at the Fermi energy   7.03 states/eV/f.u.
Energy   -4.69 eV per atom
Total moment   0.030 μB/atom

=====

Entry 6:
This record from the Alexandria database describes a geometry-optimized TaTeN2Cl structure. The functional is PBE.

POSCAR file:
```
TaTeN2Cl
1.0
-1.572 0.024 -3.704
-3.423 -1.549 1.442
-2.086 5.465 0.920
Cl N Te Ta
1 2 1 1
Direct
0.500 0.500 0.500 Cl
0.000 0.500 0.000 N
0.500 0.000 0.000 N
0.000 0.000 0.500 Te
0.000 0.000 0.000 Ta
```

Results
Space group   No. 123
DOS at the Fermi energy   2.35 states/eV/f.u.
Energy   -6.44 eV per atom
Total moment   0.134 μB/atom

=====

Entry 7:
This record from the Alexandria database describes a geometry-optimized BeRhW2 structure. The functional is PBE.

POSCAR file:
```
BeRhW2
1.0
2.719 0.000 0.000
0.000 3.928 0.000
0.000 0.000 5.253
Be Rh W
1 1 2
Direct
0.500 0.500 0.250 Be
0.500 0.500 0.750 Rh
0.000 0.000 0.012 W
0.000 0.000 0.488 W
```

Results
Space group   No. 47
Formation energy   0.10 eV/f.u.
DOS at the Fermi energy   1.96 states/eV/f.u.
Energy   -9.22 eV per atom
Total moment   0.000 μB/atom

=====

Entry 8:
This record from the Alexandria database describes a geometry-optimized KCu2Ni2 structure. The functional is PBE.

POSCAR file:
```
KCu2Ni2
1.0
-2.306 0.489 3.468
-0.122 -4.161 0.505
2.812 -1.633 4.634
Ni K Cu
2 1 2
Direct
0.378 0.378 0.245 Ni
0.622 0.622 0.755 Ni
0.000 0.000 0.000 K
0.750 0.250 0.500 Cu
0.250 0.750 0.500 Cu
```

Results
Space group   No. 139
Formation energy   2.69 eV/f.u.
DOS at the Fermi energy   4.63 states/eV/f.u.
Energy   -3.63 eV per atom
Total moment   0.000 μB/atom

=====

Entry 9:
This record from the Alexandria database describes a geometry-optimized KScPb2 structure. The functional is PBE.

POSCAR file:
```
KScPb2
1.0
-2.172 2.914 -2.795
0.051 -3.463 -3.651
-4.431 -1.760 1.608
K Pb Sc
1 2 1
Direct
0.500 0.000 0.500 K
0.000 0.000 0.000 Pb
0.000 0.500 0.500 Pb
0.500 0.500 0.000 Sc
```

Results
Space group   No. 123
Formation energy   -0.07 eV/f.u.
DOS at the Fermi energy   1.80 states/eV/f.u.
Energy   -3.73 eV per atom
Total moment   0.000 μB/atom

=====

Entry 10:
This record from the Alexandria database describes a geometry-optimized Tl2CdPt structure. The functional is PBE.

POSCAR file:
```
Tl2CdPt
1.0
-6.374 5.761 3.354
-3.780 0.699 -8.384
-6.687 1.128 -1.964
Tl Pt Cd
4 2 2
Direct
0.724 0.125 0.250 Tl
0.026 0.625 0.250 Tl
0.375 0.276 0.750 Tl
0.875 0.974 0.750 Tl
0.000 0.000 0.000 Pt
0.750 0.250 0.500 Pt
0.500 0.500 0.000 Cd
0.250 0.750 0.500 Cd
```

Results
Space group   No. 122
Formation energy   -0.03 eV/f.u.
DOS at the Fermi energy   1.41 states/eV/f.u.
Energy   -2.93 eV per atom
Total moment   0.000 μB/atom

=====

Entry 11:
This record from the Alexandria database describes a geometry-optimized Sc4SiSbC structure. The functional is PBE.

POSCAR file:
```
Sc4SiSbC
1.0
6.214 0.000 0.000
0.000 6.221 0.000
-3.107 0.000 7.235
Sc Si Sb C
8 2 2 2
Direct
0.914 0.250 0.828 Sc
0.403 0.750 0.807 Sc
0.086 0.750 0.172 Sc
0.597 0.250 0.193 Sc
0.500 0.500 0.500 Sc
0.000 0.000 0.500 Sc
0.500 0.000 0.500 Sc
0.000 0.500 0.500 Sc
0.113 0.250 0.226 Si
0.887 0.750 0.774 Si
0.604 0.750 0.207 Sb
0.396 0.250 0.793 Sb
0.246 0.750 0.492 C
0.754 0.250 0.508 C
```

Results
Space group   No. 63
DOS at the Fermi energy   4.52 states/eV/f.u.
Energy   -7.06 eV per atom
Total moment   0.000 μB/atom

=====

Entry 12:
This record from the Alexandria database describes a geometry-optimized MgMnPb2 structure. The functional is PBE.

POSCAR file:
```
MgMnPb2
1.0
-4.274 -2.230 -0.371
1.382 -2.892 1.464
-0.748 0.455 5.881
Mg Mn Pb
1 1 2
Direct
0.000 0.704 0.469 Mg
0.500 0.544 0.787 Mn
0.000 0.976 0.921 Pb
0.500 0.276 0.324 Pb
```

Results
Space group   No. 6
Formation energy   0.92 eV/f.u.
DOS at the Fermi energy   2.40 states/eV/f.u.
Energy   -4.32 eV per atom
Total moment   0.955 μB/atom

=====

Entry 13:
This record from the Alexandria database describes a geometry-optimized TbCeInCu structure. The functional is PBE.

POSCAR file:
```
TbCeInCu
1.0
5.236 0.000 0.000
2.618 4.535 0.000
2.618 1.512 4.276
Tb Cu Ce In
1 1 1 1
Direct
0.500 0.500 0.500 Tb
0.250 0.250 0.250 Cu
0.000 0.000 0.000 Ce
0.750 0.750 0.750 In
```

Results
Space group   No. 216
Formation energy   -0.74 eV/f.u.
DOS at the Fermi energy   9.94 states/eV/f.u.
Energy   -4.54 eV per atom
Total moment   0.326 μB/atom

=====

Entry 14:
This record from the Alexandria database describes a geometry-optimized Tb2Dy12Tm5 structure. The functional is PBE.

POSCAR file:
```
Tb2Dy12Tm5
1.0
-1.195 -4.130 -4.330
10.197 -3.183 3.104
-12.594 -0.321 5.201
Tb Dy Tm
2 12 5
Direct
0.736 0.947 0.026 Tb
0.264 0.053 0.974 Tb
0.053 0.211 0.395 Dy
0.210 0.842 0.079 Dy
0.685 0.736 0.132 Dy
0.105 0.422 0.290 Dy
0.632 0.528 0.238 Dy
0.473 0.895 0.553 Dy
0.527 0.105 0.447 Dy
0.895 0.578 0.710 Dy
0.368 0.472 0.762 Dy
0.790 0.158 0.921 Dy
0.315 0.264 0.868 Dy
0.947 0.789 0.605 Dy
0.421 0.683 0.657 Tm
0.158 0.632 0.184 Tm
0.000 0.000 0.500 Tm
0.842 0.368 0.816 Tm
0.579 0.317 0.343 Tm
```

Results
Space group   No. 2
Formation energy   0.39 eV/f.u.
DOS at the Fermi energy   25.85 states/eV/f.u.
Energy   -4.55 eV per atom
Total moment   0.000 μB/atom

=====

Entry 15:
This record from the Alexandria database describes a geometry-optimized ReHgSe2N structure. The functional is PBE.

POSCAR file:
```
ReHgSe2N
1.0
-0.347 -4.883 2.046
-0.763 -1.983 -4.861
3.932 -0.459 -0.429
Re Hg Se N
1 1 2 1
Direct
0.500 0.500 0.500 Re
0.000 0.000 0.000 Hg
0.000 0.500 0.000 Se
0.500 0.000 0.000 Se
0.000 0.000 0.500 N
```

Results
Space group   No. 123
DOS at the Fermi energy   7.05 states/eV/f.u.
Energy   -3.46 eV per atom
Total moment   0.867 μB/atom

=====

Entry 16:
This record from the Alexandria database describes a geometry-optimized LaSc2Ir structure. The functional is PBE.

POSCAR file:
```
LaSc2Ir
1.0
-0.714 -4.002 1.165
2.115 0.670 3.600
-8.361 1.338 7.147
Sc Ir La
4 2 2
Direct
0.652 0.125 0.250 Sc
0.098 0.625 0.250 Sc
0.375 0.348 0.750 Sc
0.875 0.902 0.750 Sc
0.000 0.000 0.000 Ir
0.750 0.250 0.500 Ir
0.500 0.500 0.000 La
0.250 0.750 0.500 La
```

Results
Space group   No. 122
Formation energy   -0.06 eV/f.u.
DOS at the Fermi energy   5.14 states/eV/f.u.
Energy   -6.63 eV per atom
Total moment   0.000 μB/atom

=====

Entry 17:
This record from the Alexandria database describes a geometry-optimized SrSc2Ir structure. The functional is PBE.

POSCAR file:
```
SrSc2Ir
1.0
4.101 -0.001 0.017
2.054 3.549 0.017
2.011 1.159 8.163
Ir Sc Sr
1 2 1
Direct
0.250 0.250 0.250 Ir
0.963 0.963 0.110 Sc
0.537 0.537 0.390 Sc
0.750 0.750 0.750 Sr
```

Results
Space group   No. 166
Formation energy   -1.33 eV/f.u.
DOS at the Fermi energy   3.41 states/eV/f.u.
Energy   -6.13 eV per atom
Total moment   0.000 μB/atom

=====

Entry 18:
This record from the Alexandria database describes a geometry-optimized BeCuPd structure. The functional is PBE.

POSCAR file:
```
BeCuPd
1.0
2.731 0.000 0.000
0.000 3.893 0.000
0.000 -1.947 3.372
Be Cu Pd
1 1 1
Direct
0.186 0.333 0.667 Be
0.155 0.000 0.000 Cu
0.659 0.667 0.333 Pd
```

Results
Space group   No. 156
Formation energy   -0.66 eV/f.u.
DOS at the Fermi energy   0.73 states/eV/f.u.
Energy   -4.56 eV per atom
Total moment   0.000 μB/atom

=====

Entry 19:
This record from the Alexandria database describes a geometry-optimized LaPr3Pd structure. The functional is PBE.

POSCAR file:
```
LaPr3Pd
1.0
3.861 0.000 0.634
1.843 6.223 0.849
-0.202 -0.231 13.294
La Pr Pd
2 6 2
Direct
0.100 0.506 0.294 La
0.224 0.556 0.997 La
0.448 0.956 0.148 Pr
0.763 0.714 0.760 Pr
0.114 0.156 0.616 Pr
0.990 0.111 0.909 Pr
0.789 0.038 0.384 Pr
0.425 0.625 0.526 Pr
0.751 0.353 0.145 Pd
0.458 0.322 0.762 Pd
```

Results
Space group   No. 8
Formation energy   -1.55 eV/f.u.
DOS at the Fermi energy   6.60 states/eV/f.u.
Energy   -5.20 eV per atom
Total moment   0.000 μB/atom

=====

Entry 20:
This record from the Alexandria database describes a geometry-optimized NbP3Au structure. The functional is PBE.

POSCAR file:
```
NbP3Au
1.0
-4.735 -0.690 -0.375
0.332 -3.833 2.870
-0.712 2.805 3.829
P Nb Au
3 1 1
Direct
0.000 0.500 0.000 P
0.000 0.000 0.500 P
0.500 0.000 0.000 P
0.000 0.000 0.000 Nb
0.500 0.500 0.500 Au
```

Results
Space group   No. 221
Formation energy   2.93 eV/f.u.
DOS at the Fermi energy   3.62 states/eV/f.u.
Energy   -5.33 eV per atom
Total moment   0.000 μB/atom